No. 1
A plane-wave DFT calculation with GGA-PBE was carried out for crystalline BaCd2W at its relaxed geometry.

Summary:
Crystal system: tetragonal
Energy relative to the lowest polymorph listed for this composition: 0.00 eV per formula unit
Formation enthalpy at 0 K: 618 meV/atom

Cell and atoms, written as POSCAR:
```
BaCd2W
1.0
3.075 0.018 0.000
-0.020 3.075 0.000
0.000 0.000 9.895
Cd W Ba
2 1 1
Direct
0.000 0.000 0.042
0.000 0.000 0.458
0.500 0.500 0.250
0.500 0.500 0.750
```


No. 2
A plane-wave DFT calculation with GGA-PBE was carried out for crystalline Be2AlHg at its relaxed geometry.

Summary:
Crystal system: trigonal
Formation enthalpy at 0 K: 451 meV/atom

Cell and atoms, written as POSCAR:
```
Be2AlHg
1.0
7.998 -0.011 -0.006
7.458 2.889 -0.006
7.458 1.389 2.533
Be Hg Al
2 1 1
Direct
0.498 0.498 0.498
0.002 0.002 0.002
0.250 0.250 0.250
0.750 0.750 0.750
```


No. 3
A plane-wave DFT calculation with GGA-PBE was carried out for crystalline PmDy3Ho6Er2 at its relaxed geometry.

Summary:
Crystal system: monoclinic
Formation enthalpy at 0 K: 18 meV/atom

Cell and atoms, written as POSCAR:
```
PmDy3Ho6Er2
1.0
-4.564 1.506 3.786
-0.662 -4.696 -3.865
5.986 -6.110 8.006
Pm Dy Er Ho
1 3 2 6
Direct
0.000 0.000 0.000
0.833 0.167 0.500
0.167 0.833 0.500
0.500 0.500 0.500
0.667 0.333 0.000
0.333 0.667 0.000
0.916 0.582 0.749
0.084 0.418 0.251
0.250 0.250 0.750
0.418 0.084 0.251
0.750 0.750 0.250
0.582 0.916 0.749
```


No. 4
A plane-wave DFT calculation with GGA-PBE was carried out for crystalline CdWSe2 at its relaxed geometry.

Summary:
Uncorrected formation energy: 0.325 eV/atom
Crystal system: tetragonal

Cell and atoms, written as POSCAR:
```
CdWSe2
1.0
6.143 0.000 0.000
0.000 6.143 0.000
3.071 3.071 5.851
W Cd Se
2 2 4
Direct
0.000 0.000 0.000
0.750 0.250 0.500
0.250 0.750 0.500
0.500 0.500 0.000
0.069 0.625 0.250
0.875 0.931 0.750
0.681 0.125 0.250
0.375 0.319 0.750
```


No. 5
A plane-wave DFT calculation with GGA-PBE was carried out for crystalline Cu3WBr9 at its relaxed geometry.

Summary:
Uncorrected formation energy: -0.352 eV/atom
Crystal system: monoclinic

Cell and atoms, written as POSCAR:
```
Cu3WBr9
1.0
8.806 0.000 3.705
4.166 8.556 2.416
0.377 -0.588 11.419
Br Cu W
18 6 2
Direct
0.999 0.419 0.871
0.378 0.302 0.947
0.768 0.718 0.102
0.099 0.104 0.669
0.128 0.604 0.169
0.363 0.911 0.073
0.762 0.958 0.766
0.514 0.458 0.266
0.989 0.316 0.186
0.309 0.185 0.348
0.711 0.919 0.371
0.654 0.411 0.573
0.412 0.218 0.602
0.008 0.597 0.540
0.855 0.097 0.040
0.158 0.685 0.848
0.510 0.816 0.686
0.374 0.802 0.447
0.948 0.965 0.850
0.594 0.218 0.720
0.469 0.718 0.220
0.080 0.064 0.090
0.766 0.564 0.590
0.237 0.465 0.350
0.067 0.501 0.018
0.414 0.001 0.518
```


No. 6
A plane-wave DFT calculation with GGA-PBE was carried out for crystalline CaTc2Pb at its relaxed geometry.

Summary:
Crystal system: monoclinic
Formation enthalpy at 0 K: 450 meV/atom

Cell and atoms, written as POSCAR:
```
CaTc2Pb
1.0
-2.187 -4.023 -2.843
-1.949 -4.972 0.725
-5.194 0.459 0.468
Tc Pb Ca
2 1 1
Direct
0.492 0.492 0.615
0.008 0.008 0.885
0.750 0.750 0.750
0.250 0.250 0.250
```


No. 7
A plane-wave DFT calculation with GGA-PBE was carried out for crystalline LaAs2Rh at its relaxed geometry.

Summary:
Crystal system: orthorhombic
Formation enthalpy at 0 K: -660 meV/atom

Cell and atoms, written as POSCAR:
```
LaAs2Rh
1.0
-1.647 -6.545 0.038
1.167 -5.103 4.260
-2.064 6.351 -0.981
La As Rh
1 2 1
Direct
0.542 0.542 0.000
0.929 0.929 0.000
0.234 0.734 0.500
0.795 0.295 0.500
```


No. 8
A plane-wave DFT calculation with GGA-PBE was carried out for crystalline PrPaSbTe at its relaxed geometry.

Summary:
Uncorrected formation energy: -0.794 eV/atom
Crystal system: cubic

Cell and atoms, written as POSCAR:
```
PrPaSbTe
1.0
-3.232 1.342 -4.108
-5.338 0.269 0.743
-2.489 4.788 -0.022
Pr Sb Te Pa
1 1 1 1
Direct
0.000 0.000 0.000
0.750 0.750 0.750
0.250 0.250 0.250
0.500 0.500 0.500
```


No. 9
A plane-wave DFT calculation with GGA-PBE was carried out for crystalline LaZnRu at its relaxed geometry.

Summary:
Crystal system: cubic
Formation enthalpy at 0 K: -37 meV/atom

Cell and atoms, written as POSCAR:
```
LaZnRu
1.0
-1.951 2.690 3.193
1.676 0.068 4.292
2.226 3.728 1.545
Zn La Ru
1 1 1
Direct
0.000 0.000 0.000
0.500 0.500 0.500
0.250 0.250 0.250
```


No. 10
A plane-wave DFT calculation with GGA-PBE was carried out for crystalline Ti5P3 at its relaxed geometry.

Summary:
Crystal system: hexagonal
Energy relative to the lowest polymorph listed for this composition: 0.05 eV per formula unit
Formation enthalpy at 0 K: -1117 meV/atom

Cell and atoms, written as POSCAR:
```
Ti5P3
1.0
-2.867 -3.740 1.868
4.892 -4.879 -2.259
0.554 2.894 6.645
P Ti
6 10
Direct
0.250 0.615 0.615
0.750 0.000 0.615
0.250 0.000 0.385
0.750 0.615 0.000
0.750 0.385 0.385
0.250 0.385 0.000
0.250 0.000 0.743
0.000 0.333 0.667
0.250 0.257 0.257
0.750 0.000 0.257
0.750 0.743 0.743
0.000 0.667 0.333
0.500 0.333 0.667
0.250 0.743 0.000
0.500 0.667 0.333
0.750 0.257 0.000
```


No. 11
A plane-wave DFT calculation with GGA-PBE was carried out for crystalline HfZn11Ge at its relaxed geometry.

Summary:
Crystal system: monoclinic
Formation enthalpy at 0 K: 22 meV/atom

Cell and atoms, written as POSCAR:
```
HfZn11Ge
1.0
-4.758 0.746 2.172
-1.193 -3.819 5.504
-0.034 4.834 4.690
Zn Hf Ge
11 1 1
Direct
0.493 0.207 0.788
0.718 0.793 0.788
0.282 0.207 0.212
0.652 0.348 0.357
0.000 0.500 0.000
0.000 0.000 0.500
0.009 0.348 0.643
0.507 0.793 0.212
0.348 0.652 0.643
0.991 0.652 0.357
0.500 0.000 0.500
0.000 0.000 0.000
0.500 0.500 0.000
```


No. 12
A plane-wave DFT calculation with GGA-PBE was carried out for crystalline MgInHg2 at its relaxed geometry.

Summary:
Crystal system: tetragonal
Formation enthalpy at 0 K: -84 meV/atom

Cell and atoms, written as POSCAR:
```
MgInHg2
1.0
-1.090 -2.691 -3.994
1.349 -4.101 2.394
-3.687 -0.449 1.309
Mg Hg In
1 2 1
Direct
0.000 0.500 0.500
0.000 0.000 0.000
0.500 0.500 0.000
0.500 0.000 0.500
```


Number 1: theoretical density 9.69 g/cm³, total moment 0.0 μB per formula unit. Number 2: theoretical density 6.93 g/cm³, total moment 0.0 μB per formula unit. Number 3: theoretical density 8.68 g/cm³, total moment 0.0 μB per formula unit. Number 4: theoretical density 6.83 g/cm³, total moment 0.0 μB per formula unit. Number 5: theoretical density 4.26 g/cm³, total moment 0.0 μB per formula unit. Number 6: theoretical density 7.89 g/cm³, total moment 0.0 μB per formula unit. Number 7: theoretical density 7.54 g/cm³, total moment 0.0 μB per formula unit. Number 8: theoretical density 9.29 g/cm³, total moment 1.4 μB per formula unit. Number 9: theoretical density 7.33 g/cm³, total moment 0.0 μB per formula unit. Number 10: theoretical density 4.76 g/cm³, total moment 0.0 μB per formula unit. Number 11: theoretical density 7.94 g/cm³, total moment 0.0 μB per formula unit. Number 12: theoretical density 9.35 g/cm³, total moment 0.0 μB per formula unit.